Record 1
## TaCuAgAu (GGA-PBE)

Data for a geometry-optimized TaCuAgAu structure.

Properties
Its symmetry is F-43m (216). The calculation puts the density at 14.1 g cm⁻³. The raw total energy comes out at -20.6 eV for the cell shown. For the calculated volume, the calculation gives 16.16 Å³ per atom. The value obtained for the calculated formation energy is 0.261 eV/atom. Its energy above the most stable polymorph in this dataset is 0.095 eV per atom.

The structure in POSCAR format:
```
TaCuAgAu
1.0
-4.404 -0.311 0.896
-2.698 3.538 -0.707
-2.984 -0.082 -3.373
Au Ag Ta Cu
1 1 1 1
direct
0.750 0.750 0.750
0.500 0.500 0.500
0.250 0.250 0.250
0.000 0.000 0.000
```

=====

Record 2
## Gd2TmIn3CuPd2 (GGA-PBE)

Data for a geometry-optimized Gd2TmIn3CuPd2 structure.

Properties
Its symmetry is Amm2 (38). The calculation puts the density at 9.3 g cm⁻³. The raw total energy comes out at -42.4 eV for the cell shown. For the calculated volume, the calculation gives 21.84 Å³ per atom.

The structure in POSCAR format:
```
Gd2TmIn3CuPd2
1.0
3.862 0.000 0.000
0.000 6.625 3.841
0.000 -6.625 3.841
In Gd Cu Tm Pd
3 2 1 1 2
direct
0.500 0.252 0.252
0.500 0.748 0.998
0.500 0.998 0.748
0.000 0.410 0.000
0.000 0.000 0.410
0.000 0.999 0.999
0.000 0.590 0.590
0.500 0.665 0.336
0.500 0.336 0.665
```

=====

Record 3
## GdTePSe3 (GGA-PBE)

Data for a geometry-optimized GdTePSe3 structure.

Properties
Its symmetry is P-1 (2). The calculation puts the density at 4.6 g cm⁻³. The raw total energy comes out at -56.1 eV for the cell shown. For the calculated volume, the calculation gives 33.18 Å³ per atom.

The structure in POSCAR format:
```
GdTePSe3
1.0
-0.895 -6.912 0.160
0.415 -1.424 -6.943
8.034 -1.526 0.306
Se Te P Gd
6 2 2 2
direct
0.863 0.977 0.206
0.411 0.781 0.342
0.610 0.720 0.924
0.137 0.023 0.794
0.589 0.219 0.658
0.390 0.280 0.076
0.928 0.461 0.260
0.072 0.539 0.740
0.319 0.258 0.813
0.681 0.742 0.187
0.791 0.289 0.939
0.209 0.711 0.061
```

=====

Record 4
## UGeSb (GGA-PBE)

Data for a geometry-optimized UGeSb structure.

Properties
Its symmetry is F-43m (216). The calculation puts the density at 8.6 g cm⁻³. The raw total energy comes out at -19.4 eV for the cell shown. For the calculated volume, the calculation gives 27.87 Å³ per atom.

The structure in POSCAR format:
```
UGeSb
1.0
-1.009 -4.492 1.701
-0.984 -0.656 4.764
-4.560 -1.115 1.434
Sb U Ge
1 1 1
direct
0.750 0.750 0.750
0.000 0.000 0.000
0.250 0.250 0.250
```

=====

Record 5
## Al2AgTe (GGA-PBE)

Data for a geometry-optimized Al2AgTe structure.

Properties
Its symmetry is F-43m (216). The calculation puts the density at 5.7 g cm⁻³. The raw total energy comes out at -12.3 eV for the cell shown. For the calculated volume, the calculation gives 21.26 Å³ per atom.

The structure in POSCAR format:
```
Al2AgTe
1.0
2.570 2.494 3.396
-0.308 4.922 0.205
-2.341 2.172 3.763
Ag Al Te
1 2 1
direct
0.500 0.500 0.500
0.000 0.000 0.000
0.250 0.250 0.250
0.750 0.750 0.750
```

=====

Record 6
## UTcNi (GGA-PBE)

Data for a geometry-optimized UTcNi structure.

Properties
Its symmetry is F-43m (216). The calculation puts the density at 12.2 g cm⁻³. The raw total energy comes out at -26.4 eV for the cell shown. For the calculated volume, the calculation gives 17.85 Å³ per atom. The value obtained for the calculated formation energy is 0.282 eV/atom. Its energy above the most stable polymorph in this dataset is 0.000 eV per atom.

The structure in POSCAR format:
```
UTcNi
1.0
1.589 -3.364 -2.015
2.695 -2.581 1.993
-1.225 -3.897 1.099
Tc U Ni
1 1 1
direct
0.750 0.750 0.750
0.250 0.250 0.250
0.000 0.000 0.000
```

=====

Record 7
## LaGdAlIr2 (GGA-PBE)

Data for a geometry-optimized LaGdAlIr2 structure.

Properties
Its symmetry is Imm2 (44). The calculation puts the density at 10.9 g cm⁻³. The raw total energy comes out at -35.3 eV for the cell shown. For the calculated volume, the calculation gives 21.63 Å³ per atom.

The structure in POSCAR format:
```
LaGdAlIr2
1.0
-2.009 2.860 4.493
0.931 5.385 -1.594
-3.029 -4.437 -1.883
Ir Al Gd La
2 1 1 1
direct
0.744 0.501 0.243
0.257 0.501 0.757
0.000 0.000 0.000
0.698 0.198 0.500
0.301 0.801 0.500
```

=====

Record 8
## SmCuSi (GGA-PBE)

Data for a geometry-optimized SmCuSi structure.

Properties
Its symmetry is F-43m (216). The calculation puts the density at 5.5 g cm⁻³. The raw total energy comes out at -13.1 eV for the cell shown. For the calculated volume, the calculation gives 24.14 Å³ per atom.

The structure in POSCAR format:
```
SmCuSi
1.0
-3.846 -2.605 -0.558
-4.098 2.051 -0.944
-1.922 -0.456 -4.241
Sm Cu Si
1 1 1
direct
0.000 0.000 0.000
0.250 0.250 0.250
0.750 0.750 0.750
```

=====

Record 9
## Sr2HfOs (GGA-PBE)

Data for a geometry-optimized Sr2HfOs structure.

Properties
Its symmetry is F-43m (216). The calculation puts the density at 9.2 g cm⁻³. The raw total energy comes out at -21.7 eV for the cell shown. For the calculated volume, the calculation gives 24.46 Å³ per atom.

The structure in POSCAR format:
```
Sr2HfOs
1.0
0.000 3.657 3.657
3.657 0.000 3.657
3.657 3.657 0.000
Hf Os Sr
1 1 2
direct
0.500 0.500 0.500
0.750 0.750 0.750
0.000 0.000 0.000
0.250 0.250 0.250
```

=====

Record 10
## ScCuNiSb (GGA-PBE)

Data for a geometry-optimized ScCuNiSb structure.

Properties
Its symmetry is F-43m (216). The calculation puts the density at 7.2 g cm⁻³. The raw total energy comes out at -20.5 eV for the cell shown. For the calculated volume, the calculation gives 16.59 Å³ per atom. Its energy above the most stable polymorph in this dataset is 0.189 eV per atom.

The structure in POSCAR format:
```
ScCuNiSb
1.0
-0.646 2.177 3.937
-3.357 3.037 0.393
-3.638 -0.951 2.552
Sc Sb Cu Ni
1 1 1 1
direct
0.250 0.250 0.250
0.000 0.000 0.000
0.750 0.750 0.750
0.500 0.500 0.500
```

=====

Record 11
## NaFeAgOs (GGA-PBE)

Data for a geometry-optimized NaFeAgOs structure.

Properties
Its symmetry is F-43m (216). The calculation puts the density at 10.1 g cm⁻³. The raw total energy comes out at -20.2 eV for the cell shown. For the calculated volume, the calculation gives 15.50 Å³ per atom. Its energy above the most stable polymorph in this dataset is 0.010 eV per atom.

The structure in POSCAR format:
```
NaFeAgOs
1.0
0.000 3.142 3.142
3.142 0.000 3.142
3.142 3.142 0.000
Na Fe Ag Os
1 1 1 1
direct
0.750 0.750 0.750
0.250 0.250 0.250
0.500 0.500 0.500
0.000 0.000 0.000
```

=====

Record 12
## TmCuTe3Pb (GGA-PBE)

Data for a geometry-optimized TmCuTe3Pb structure.

Properties
Its symmetry is P2_1/m (11). The calculation puts the density at 7.6 g cm⁻³. The raw total energy comes out at -50.9 eV for the cell shown. For the calculated volume, the calculation gives 29.91 Å³ per atom. Its energy above the most stable polymorph in this dataset is 0.016 eV per atom.

The structure in POSCAR format:
```
TmCuTe3Pb
1.0
-1.519 -8.136 -0.487
0.647 -0.372 4.197
-9.319 4.656 1.849
Cu Tm Te Pb
2 2 6 2
direct
0.577 0.250 0.588
0.423 0.750 0.412
0.800 0.750 0.832
0.200 0.250 0.168
0.074 0.250 0.865
0.454 0.750 0.168
0.243 0.250 0.459
0.757 0.750 0.541
0.926 0.750 0.135
0.546 0.250 0.832
0.762 0.250 0.301
0.238 0.750 0.699
```

=====

Record 13
## TaAgTe2 (GGA-PBE)

Data for a geometry-optimized TaAgTe2 structure.

Properties
Its symmetry is F-43m (216). The calculation puts the density at 10.0 g cm⁻³. The raw total energy comes out at -18.0 eV for the cell shown. For the calculated volume, the calculation gives 22.48 Å³ per atom.

The structure in POSCAR format:
```
TaAgTe2
1.0
0.000 3.556 3.556
3.556 0.000 3.556
3.556 3.556 0.000
Ta Te Ag
1 2 1
direct
0.750 0.750 0.750
0.500 0.500 0.500
0.250 0.250 0.250
0.000 0.000 0.000
```

=====

Record 14
## HoSn3 (GGA-PBE)

Data for a geometry-optimized HoSn3 structure.

Properties
Its symmetry is Amm2 (38). The calculation puts the density at 8.0 g cm⁻³. The raw total energy comes out at -36.0 eV for the cell shown. For the calculated volume, the calculation gives 26.89 Å³ per atom.

The structure in POSCAR format:
```
HoSn3
1.0
-3.803 2.241 -0.303
0.957 3.075 10.723
3.070 6.384 8.671
Sn Ho
6 2
direct
0.500 0.726 0.726
0.500 0.358 0.358
0.000 0.860 0.860
0.500 0.590 0.590
0.000 0.482 0.482
0.000 0.096 0.096
0.000 0.247 0.247
0.500 0.975 0.975
```

=====

Record 15
## Rb2TmTlI6 (GGA-PBE)

Data for a geometry-optimized Rb2TmTlI6 structure.

Properties
Its symmetry is Fm-3m (225). The calculation puts the density at 4.3 g cm⁻³. The raw total energy comes out at -30.5 eV for the cell shown. For the calculated volume, the calculation gives 50.29 Å³ per atom.

The structure in POSCAR format:
```
Rb2TmTlI6
1.0
3.809 -3.372 7.335
-4.798 -1.009 7.460
-2.204 -8.178 2.817
Tm I Rb Tl
1 6 2 1
direct
0.500 0.500 0.500
0.263 0.263 0.737
0.263 0.737 0.263
0.737 0.263 0.263
0.263 0.737 0.737
0.737 0.263 0.737
0.737 0.737 0.263
0.750 0.750 0.750
0.250 0.250 0.250
0.000 0.000 0.000
```

=====

Record 16
## ZrAlNiC (GGA-PBE)

Data for a geometry-optimized ZrAlNiC structure.

Properties
Its symmetry is P-3m1 (164). The calculation puts the density at 6.1 g cm⁻³. The raw total energy comes out at -55.3 eV for the cell shown. For the calculated volume, the calculation gives 12.93 Å³ per atom. Its energy above the most stable polymorph in this dataset is 0.000 eV per atom.

The structure in POSCAR format:
```
ZrAlNiC
1.0
-3.629 1.197 -1.105
0.405 -2.814 2.781
0.121 5.315 5.360
Zr Ni Al C
2 2 2 2
direct
0.667 0.333 0.714
0.333 0.667 0.286
0.667 0.333 0.091
0.333 0.667 0.909
0.000 0.000 0.500
0.000 0.000 0.000
0.667 0.333 0.363
0.333 0.667 0.637
```

=====

Record 17
## Pr2PaN4 (GGA-PBE)

Data for a geometry-optimized Pr2PaN4 structure.

Properties
Its symmetry is Pbam (55). The calculation puts the density at 8.4 g cm⁻³. The raw total energy comes out at -123.2 eV for the cell shown. For the calculated volume, the calculation gives 16.14 Å³ per atom.

The structure in POSCAR format:
```
Pr2PaN4
1.0
-1.436 5.645 1.797
-3.693 -3.715 8.720
3.284 0.346 1.539
N Pr Pa
8 4 2
direct
0.729 0.459 0.500
0.646 0.694 0.000
0.146 0.806 0.000
0.854 0.194 0.000
0.271 0.541 0.500
0.354 0.306 0.000
0.229 0.041 0.500
0.771 0.959 0.500
0.561 0.175 0.500
0.939 0.675 0.500
0.061 0.325 0.500
0.439 0.825 0.500
0.000 0.000 0.000
0.500 0.500 0.000
```

=====

Record 18
## FeCuBMo (GGA-PBE)

Data for a geometry-optimized FeCuBMo structure.

Properties
Its symmetry is F-43m (216). The calculation puts the density at 8.4 g cm⁻³. The raw total energy comes out at -28.0 eV for the cell shown. For the calculated volume, the calculation gives 11.14 Å³ per atom. Its energy above the most stable polymorph in this dataset is 0.000 eV per atom.

The structure in POSCAR format:
```
FeCuBMo
1.0
3.278 -2.215 0.436
1.302 -0.931 3.644
-0.289 -3.743 1.320
Mo Fe Cu B
1 1 1 1
direct
0.250 0.250 0.250
0.500 0.500 0.500
0.750 0.750 0.750
0.000 0.000 0.000
```

=====

Record 19
## Hf3Al2ZnNiIr2 (GGA-PBE)

Data for a geometry-optimized Hf3Al2ZnNiIr2 structure.

Properties
Its symmetry is Amm2 (38). The calculation puts the density at 12.2 g cm⁻³. The raw total energy comes out at -68.9 eV for the cell shown. For the calculated volume, the calculation gives 16.59 Å³ per atom.

The structure in POSCAR format:
```
Hf3Al2ZnNiIr2
1.0
3.419 0.000 0.000
0.000 6.119 3.568
0.000 -6.119 3.568
Ir Hf Al Ni Zn
2 3 2 1 1
direct
0.500 0.326 0.666
0.500 0.666 0.326
0.000 0.410 0.410
0.000 0.598 0.995
0.000 0.995 0.598
0.500 0.002 0.248
0.500 0.248 0.002
0.000 0.006 0.006
0.500 0.749 0.749
```

=====

Record 20
## YHf2Pd (GGA-PBE)

Data for a geometry-optimized YHf2Pd structure.

Properties
Its symmetry is F-43m (216). The calculation puts the density at 10.7 g cm⁻³. The raw total energy comes out at -31.6 eV for the cell shown. For the calculated volume, the calculation gives 21.44 Å³ per atom. The value obtained for the calculated formation energy is -0.009 eV/atom.

The structure in POSCAR format:
```
YHf2Pd
1.0
-3.604 -0.976 3.250
-0.354 2.642 4.171
-3.730 3.200 0.594
Y Hf Pd
1 2 1
direct
0.500 0.500 0.500
0.250 0.250 0.250
0.000 0.000 0.000
0.750 0.750 0.750
```